(1)
A plane-wave DFT calculation with GGA-PBE was carried out for a geometry-optimized Ce2CoB10 structure.

Values from the calculation:
Magnetic moment ... 0.000 μB per atom
Formation energy ... -0.591 eV/atom

Cell lengths 5.583, 11.140, 4.157 Å; angles 90.00, 90.00, 90.00 degrees
Positions (direct):
Ce1 0.197 0.135 0.000
Ce2 0.303 0.635 0.000
Ce3 0.697 0.365 0.000
Ce4 0.803 0.865 0.000
Co1 0.000 0.500 0.500
Co2 0.500 0.000 0.500
B1 0.033 0.313 0.500
B2 0.127 0.960 0.500
B3 0.155 0.802 0.500
B4 0.201 0.387 0.200
B5 0.201 0.387 0.800
B6 0.299 0.887 0.200
B7 0.299 0.887 0.800
B8 0.345 0.302 0.500
B9 0.373 0.460 0.500
B10 0.467 0.813 0.500
B11 0.533 0.187 0.500
B12 0.627 0.540 0.500
B13 0.655 0.698 0.500
B14 0.701 0.113 0.200
B15 0.701 0.113 0.800
B16 0.799 0.613 0.200
B17 0.799 0.613 0.800
B18 0.845 0.198 0.500
B19 0.873 0.040 0.500
B20 0.967 0.687 0.500

***

(2)
A plane-wave DFT calculation with GGA-PBE was carried out for a geometry-optimized ThCu8Ag3 structure.

Values from the calculation:
Magnetic moment ... 0.000 μB per atom
Formation energy ... -0.034 eV/atom
Relative energy among the computed polymorphs ... 0 meV/atom

Cell lengths 8.757, 8.757, 8.757 Å; angles 33.49, 33.49, 33.49 degrees
Positions (direct):
Th1 0.000 0.000 0.000
Cu1 0.063 0.063 0.559
Cu2 0.063 0.559 0.063
Cu3 0.069 0.566 0.566
Cu4 0.312 0.312 0.312
Cu5 0.559 0.063 0.063
Cu6 0.566 0.069 0.566
Cu7 0.566 0.566 0.069
Cu8 0.814 0.814 0.814
Ag1 0.129 0.129 0.129
Ag2 0.500 0.500 0.500
Ag3 0.617 0.617 0.617

***

(3)
A plane-wave DFT calculation with GGA-PBE was carried out for a geometry-optimized YGa2Ge2 structure.

Values from the calculation:
Magnetic moment ... 0.000 μB per atom
Formation energy ... -0.218 eV/atom

Cell lengths 7.274, 7.274, 7.274 Å; angles 148.32, 148.32, 45.42 degrees
Positions (direct):
Y1 0.000 0.000 0.000
Ga1 0.250 0.750 0.500
Ga2 0.750 0.250 0.500
Ge1 0.403 0.403 0.000
Ge2 0.597 0.597 0.000

***

(4)
A plane-wave DFT calculation with GGA-PBE was carried out for a geometry-optimized CaPrSn2O6 structure.

Values from the calculation:
Magnetic moment ... 0.000 μB per atom
Raw formation energy ... -2251 meV/atom

Cell lengths 8.258, 5.966, 5.706 Å; angles 90.00, 90.00, 90.00 degrees
Positions (direct):
Ca1 0.000 0.197 0.000
Ca2 0.500 0.803 0.500
Pr1 0.000 0.689 0.534
Pr2 0.500 0.311 0.034
Sn1 0.249 0.245 0.516
Sn2 0.251 0.755 0.016
Sn3 0.749 0.755 0.016
Sn4 0.751 0.245 0.516
O1 0.000 0.297 0.398
O2 0.000 0.802 0.134
O3 0.189 0.452 0.815
O4 0.189 0.947 0.710
O5 0.311 0.053 0.210
O6 0.311 0.548 0.315
O7 0.500 0.198 0.634
O8 0.500 0.703 0.898
O9 0.689 0.053 0.210
O10 0.689 0.548 0.315
O11 0.811 0.452 0.815
O12 0.811 0.947 0.710

***

(5)
A plane-wave DFT calculation with GGA-PBE was carried out for a geometry-optimized Pm3Hg4Au2 structure.

Values from the calculation:
Magnetic moment ... 0.000 μB per atom
Formation energy ... -0.504 eV/atom
Relative energy among the computed polymorphs ... 45 meV/atom

Cell lengths 5.378, 5.378, 9.131 Å; angles 96.13, 96.13, 59.21 degrees
Positions (direct):
Pm1 0.000 0.000 0.000
Pm2 0.375 0.375 0.294
Pm3 0.625 0.625 0.706
Hg1 0.051 0.051 0.349
Hg2 0.324 0.324 0.933
Hg3 0.676 0.676 0.067
Hg4 0.949 0.949 0.651
Au1 0.282 0.282 0.610
Au2 0.718 0.718 0.390

***

(6)
A plane-wave DFT calculation with GGA-PBE was carried out for a geometry-optimized MgInTe2N structure.

Values from the calculation:
Magnetic moment ... 0.390 μB per atom
Raw formation energy ... 470 meV/atom
Relative energy among the computed polymorphs ... 0 meV/atom

Cell lengths 5.855, 5.855, 3.918 Å; angles 90.00, 90.00, 90.00 degrees
Positions (direct):
Mg1 0.000 0.000 0.000
In1 0.500 0.500 0.500
Te1 0.000 0.500 0.000
Te2 0.500 0.000 0.000
N1 0.000 0.000 0.500